No. 1
K3Ta3Al2O12, relaxed, DFT GGA-PBE; magnetization = 0.0 μB per cell; VASP energy = -7.867 eV/atom
1.0
9.371 0.000 0.000
-4.686 8.116 0.000
0.000 0.000 3.896
Al K O Ta
2 3 12 3
Cartesian
4.686 2.705 0.000 Al
0.000 5.410 0.000 Al
3.629 0.000 1.948 K
-1.815 3.143 1.948 K
2.871 4.973 1.948 K
1.639 0.000 0.000 O
5.750 1.418 0.000 O
-0.820 1.420 0.000 O
3.039 2.427 0.000 O
0.583 3.845 0.000 O
5.268 4.270 0.000 O
-1.647 5.689 0.000 O
3.866 6.696 0.000 O
1.064 6.697 0.000 O
7.072 0.000 1.948 O
1.150 1.991 1.948 O
-3.536 6.124 1.948 O
7.195 0.000 0.000 Ta
1.088 1.884 0.000 Ta
-3.598 6.231 0.000 Ta

***

No. 2
KAlOs, relaxed, DFT GGA-PBE; magnetization = 2.1 μB per cell; VASP energy = -3.010 eV/atom
1.0
-2.799 -0.484 4.023
-4.241 2.478 0.362
-4.289 -2.407 -0.259
Al K Os
1 1 1
Cartesian
-2.832 -0.103 1.032 Al
0.000 0.000 0.000 K
-8.497 -0.310 3.095 Os

***

No. 3
KAlOs, relaxed, DFT GGA-PBE; magnetization = 0.0 μB per cell; VASP energy = -4.053 eV/atom
1.0
0.074 -3.335 3.095
0.501 1.000 4.411
-3.498 -0.524 2.864
Al K Os
1 1 1
Cartesian
-0.731 -0.715 2.593 Al
-2.193 -2.144 7.778 K
0.000 0.000 0.000 Os

***

No. 4
KAlPdS3, relaxed, DFT GGA-PBE; VASP energy = -4.500 eV/atom
1.0
14.086 0.000 0.000
0.000 3.666 0.000
0.000 0.000 10.552
Al K Pd S
4 4 4 12
Cartesian
7.129 0.916 1.439 Al
0.086 0.916 3.837 Al
14.000 2.749 6.715 Al
6.957 2.749 9.113 Al
3.204 0.916 0.708 K
10.247 0.916 4.568 K
3.839 2.749 5.984 K
10.883 2.749 9.844 K
13.984 2.749 0.954 Pd
6.941 2.749 4.322 Pd
7.145 0.916 6.230 Pd
0.102 0.916 9.598 Pd
5.728 2.749 0.573 S
12.821 0.916 1.749 S
8.452 2.749 2.463 S
1.408 2.749 2.812 S
5.778 0.916 3.527 S
12.771 2.749 4.703 S
1.315 0.916 5.848 S
8.309 2.749 7.025 S
12.678 0.916 7.739 S
5.635 0.916 8.088 S
1.266 2.749 8.803 S
8.359 0.916 9.979 S

***

No. 5
KAlPdS3, relaxed, DFT GGA-PBE; VASP energy = -4.501 eV/atom
1.0
8.185 0.000 0.000
0.000 3.659 0.000
-2.816 0.000 9.103
Al K Pd S
2 2 2 6
Cartesian
5.973 0.915 3.358 Al
-0.604 2.745 5.745 Al
1.708 0.915 2.262 K
3.662 2.745 6.841 K
4.660 2.745 0.773 Pd
0.709 0.915 8.330 Pd
6.064 0.915 0.877 S
4.313 2.745 3.147 S
-0.567 2.745 3.386 S
5.937 0.915 5.717 S
1.057 0.915 5.956 S
-0.694 2.745 8.226 S

***

No. 6
KAlTe3Pd, relaxed, DFT GGA-PBE; VASP energy = -3.750 eV/atom
1.0
9.023 0.000 0.000
0.000 4.326 0.000
-2.301 0.000 9.754
Al K Pd Te
2 2 2 6
Cartesian
5.616 3.245 1.186 Al
1.107 1.082 8.568 Al
1.136 3.245 2.621 K
5.587 1.082 7.133 K
7.636 1.082 3.964 Pd
-0.913 3.245 5.790 Pd
7.524 1.082 1.311 Te
3.711 1.082 1.507 Te
6.123 3.245 3.942 Te
0.600 1.082 5.812 Te
3.012 3.245 8.247 Te
-0.801 3.245 8.443 Te